Record 1
Compound: Cs2LiFeHg
Source: Alexandria
Functional: PBE-GGA
Structure: optimized geometry

Unit cell a=7.182 b=5.181 c=7.182 alpha=90.00 beta=90.00 gamma=90.00
Site moments in Bohr magnetons follow the coordinates.
Atoms (fractional coordinates):
Cs1 0.000 0.000 0.500  -0.01
Cs2 0.500 0.000 0.000  -0.01
Hg1 0.000 0.000 0.000  -0.02
Fe1 0.000 0.500 0.000  3.04
Li1 0.500 0.500 0.500  0.01

Calculated values
energy of formation = 601 meV/atom
SG = P4/mmm

=====

Record 2
Compound: CsHoFe2I8
Source: Alexandria
Functional: PBE-GGA
Structure: optimized geometry

Unit cell a=7.429 b=7.429 c=11.129 alpha=83.98 beta=83.98 gamma=68.62
Site moments in Bohr magnetons follow the coordinates.
Atoms (fractional coordinates):
I1 0.272 0.768 0.801  0.06
I2 0.313 0.313 0.586  0.10
I3 0.232 0.728 0.199  0.06
I4 0.687 0.687 0.414  0.10
I5 0.768 0.272 0.801  0.06
I6 0.728 0.232 0.199  0.06
I7 0.246 0.246 0.995  0.06
I8 0.754 0.754 0.005  0.06
Fe1 0.383 0.383 0.793  3.28
Fe2 0.617 0.617 0.207  3.28
Cs1 0.000 0.000 0.500  0.00
Ho1 0.000 0.000 0.000  0.06

Calculated values
formation energy without anion corrections = -70 kJ/mol of atoms
SG = C2/m